(1)
Density functional theory data (GGA-PBE) for CrMoPt2 after structural relaxation.

Cell lengths 4.8235, 4.8235, 2.7426 Å; angles 90.00, 90.00, 111.55 degrees
Positions (direct):
Cr 0.0000 0.0000 0.0000
Mo 0.5000 0.5000 0.0000
Pt 0.0000 0.5000 0.5000
Pt 0.5000 0.0000 0.5000

As for the space group: Cmmm.

---

(2)
Density functional theory data (GGA-PBE) for CrMo2Pt after structural relaxation.

Cell lengths 4.3996, 4.3996, 4.3996 Å; angles 60.00, 60.00, 60.00 degrees
Positions (direct):
Cr 0.0000 0.0000 0.0000
Mo 0.2500 0.2500 0.2500
Mo 0.7500 0.7500 0.7500
Pt 0.5000 0.5000 0.5000

As for the space group: Fm-3m.

---

| no. | E_tot (eV per atom) | spin magnetization (μB/cell) | energy of formation from the pure elements (meV per atom) |
| --- | --- | --- | --- |
| 1 | -8.342 | 1.67 | -208 |
| 2 | -9.078 | 0.00 | 253 |